(1)
This record from the Alexandria database describes KYIn2 after structural relaxation. The functional is GGA-PBE.

It has space group Cm (No. 8), with a = 12.652 Å, b = 3.312 Å, c = 6.061 Å, α = 90.00°, β = 106.59° and γ = 90.00°. The inequivalent atoms are K at (0.000, 0.000, 0.000), Y at (0.198, 0.000, 0.623), In at (0.257, 0.500, 0.168) and In at (0.460, 0.000, 0.482).

The value obtained for the magnetization is 0.02 μB per formula unit. As for the total energy: -13.355 eV per formula unit. The value obtained for the density of states at the Fermi level is 5.783 states/eV/cell. The energy of formation comes out at -79 meV per atom.

***

(2)
This record from the Alexandria database describes K2YIn after structural relaxation. The functional is GGA-PBE.

It has space group P4/mmm (No. 123), with a = 4.801 Å, b = 4.801 Å, c = 6.965 Å, α = 90.00°, β = 90.00° and γ = 90.00°. The inequivalent atoms are K at (0.000, 0.000, 0.230), Y at (0.500, 0.500, 0.500) and In at (0.500, 0.500, 0.000).

The value obtained for the magnetization is 1.19 μB per formula unit. As for the total energy: -9.850 eV per formula unit. The value obtained for the density of states at the Fermi level is 2.942 states/eV/cell. The energy of formation comes out at 387 meV per atom.

***

(3)
This record from the Alexandria database describes KYIn2 after structural relaxation. The functional is GGA-PBE.

It has space group I-4m2 (No. 119), with a = 4.853 Å, b = 4.853 Å, c = 10.217 Å, α = 90.00°, β = 90.00° and γ = 90.00°. The inequivalent atoms are K at (0.000, 0.000, 0.000), Y at (0.000, 0.500, 0.750), In at (0.000, 0.000, 0.500) and In at (0.000, 0.500, 0.250).

The value obtained for the magnetization is 0.00 μB per formula unit. As for the total energy: -12.872 eV per formula unit. The value obtained for the density of states at the Fermi level is 5.256 states/eV/cell. The energy of formation comes out at 42 meV per atom.

***

(4)
This record from the Alexandria database describes KY3In after structural relaxation. The functional is GGA-PBE.

It has space group Pm-3m (No. 221), with a = 5.429 Å, b = 5.429 Å, c = 5.429 Å, α = 90.00°, β = 90.00° and γ = 90.00°. The inequivalent atoms are K at (0.000, 0.000, 0.000), Y at (0.000, 0.000, 0.500) and In at (0.500, 0.500, 0.500).

The value obtained for the magnetization is 0.00 μB per formula unit. As for the total energy: -17.730 eV per formula unit. The value obtained for the density of states at the Fermi level is 4.477 states/eV/cell. The energy of formation comes out at 1100 meV per atom.

***

(5)
This record from the Alexandria database describes K2YIn after structural relaxation. The functional is GGA-PBE.

It has space group Pmm2 (No. 25), with a = 3.820 Å, b = 4.592 Å, c = 10.327 Å, α = 90.00°, β = 90.00° and γ = 90.00°. The inequivalent atoms are K at (0.000, 0.000, 0.000), K at (0.500, 0.500, 0.359), Y at (0.000, 0.000, 0.647) and In at (0.500, 0.500, 0.743).

The value obtained for the magnetization is 0.00 μB per formula unit. As for the total energy: -11.267 eV per formula unit. The value obtained for the density of states at the Fermi level is 3.840 states/eV/cell. The energy of formation comes out at 33 meV per atom.

***

(6)
This record from the Alexandria database describes KYIn2 after structural relaxation. The functional is GGA-PBE.

It has space group P4/mmm (No. 123), with a = 3.889 Å, b = 3.889 Å, c = 8.406 Å, α = 90.00°, β = 90.00° and γ = 90.00°. The inequivalent atoms are K at (0.000, 0.000, 0.000), Y at (0.000, 0.000, 0.500) and In at (0.500, 0.500, 0.298).

The value obtained for the magnetization is 0.00 μB per formula unit. As for the total energy: -14.012 eV per formula unit. The value obtained for the density of states at the Fermi level is 2.668 states/eV/cell. The energy of formation comes out at -243 meV per atom.

***

(7)
This record from the Alexandria database describes KY3In after structural relaxation. The functional is GGA-PBE.

It has space group Pm-3m (No. 221), with a = 5.916 Å, b = 5.916 Å, c = 5.916 Å, α = 90.00°, β = 90.00° and γ = 90.00°. The inequivalent atoms are K at (0.000, 0.000, 0.000), Y at (0.000, 0.500, 0.500) and In at (0.500, 0.500, 0.500).

The value obtained for the magnetization is 1.27 μB per formula unit. As for the total energy: -21.295 eV per formula unit. The value obtained for the density of states at the Fermi level is 4.921 states/eV/cell. The energy of formation comes out at 387 meV per atom.

***

(8)
This record from the Alexandria database describes KYIn2 after structural relaxation. The functional is GGA-PBE.

It has space group P4mm (No. 99), with a = 3.596 Å, b = 3.596 Å, c = 10.273 Å, α = 90.00°, β = 90.00° and γ = 90.00°. The inequivalent atoms are K at (0.000, 0.000, 0.000), Y at (0.500, 0.500, 0.348), In at (0.000, 0.000, 0.541) and In at (0.500, 0.500, 0.733).

The value obtained for the magnetization is 0.19 μB per formula unit. As for the total energy: -13.138 eV per formula unit. The value obtained for the density of states at the Fermi level is 2.139 states/eV/cell. The energy of formation comes out at -25 meV per atom.

***

(9)
This record from the Alexandria database describes KYIn2 after structural relaxation. The functional is GGA-PBE.

It has space group R-3m (No. 166, hexagonal axes), with a = 3.6621 Å, b = 3.6621 Å, c = 33.1174 Å, α = 90.00°, β = 90.00° and γ = 120.00°. The inequivalent atoms are K at (0.0000, 0.0000, 0.0000), Y at (0.0000, 0.0000, 0.5000) and In at (0.0000, 0.0000, 0.2428).

The value obtained for the magnetization is 0.00 μB per formula unit. As for the total energy: -13.397 eV per formula unit. The value obtained for the density of states at the Fermi level is 10.326 states/eV/cell. The energy of formation comes out at -90 meV per atom.

***

(10)
This record from the Alexandria database describes K2YIn after structural relaxation. The functional is GGA-PBE.

It has space group R-3m (No. 166, hexagonal axes), with a = 3.6732 Å, b = 3.6732 Å, c = 40.1038 Å, α = 90.00°, β = 90.00° and γ = 120.00°. The inequivalent atoms are K at (0.0000, 0.0000, 0.2433), Y at (0.0000, 0.0000, 0.0000) and In at (0.0000, 0.0000, 0.5000).

The value obtained for the magnetization is 0.00 μB per formula unit. As for the total energy: -10.190 eV per formula unit. The value obtained for the density of states at the Fermi level is 14.957 states/eV/cell. The energy of formation comes out at 302 meV per atom.

***

(11)
This record from the Alexandria database describes KYIn2 after structural relaxation. The functional is GGA-PBE.

It has space group I-42d (No. 122), with a = 8.785 Å, b = 8.785 Å, c = 7.182 Å, α = 90.00°, β = 90.00° and γ = 90.00°. The inequivalent atoms are K at (0.000, 0.000, 0.000), Y at (0.000, 0.000, 0.500) and In at (0.224, 0.750, 0.625).

The value obtained for the magnetization is 0.00 μB per formula unit. As for the total energy: -12.251 eV per formula unit. The value obtained for the density of states at the Fermi level is 5.073 states/eV/cell. The energy of formation comes out at 197 meV per atom.

***

(12)
This record from the Alexandria database describes K2YIn after structural relaxation. The functional is GGA-PBE.

It has space group C2/m (No. 12), with a = 6.799 Å, b = 13.707 Å, c = 3.747 Å, α = 90.00°, β = 121.45° and γ = 90.00°. The inequivalent atoms are K at (0.250, 0.250, 0.000), Y at (0.000, 0.000, 0.500) and In at (0.000, 0.500, 0.500).

The value obtained for the magnetization is 0.39 μB per formula unit. As for the total energy: -10.450 eV per formula unit. The value obtained for the density of states at the Fermi level is 6.559 states/eV/cell. The energy of formation comes out at 237 meV per atom.

***

(13)
This record from the Alexandria database describes K2YIn after structural relaxation. The functional is GGA-PBE.

It has space group Cm (No. 8), with a = 10.320 Å, b = 3.794 Å, c = 9.426 Å, α = 90.00°, β = 95.59° and γ = 90.00°. The inequivalent atoms are K at (0.000, 0.000, 0.000), K at (0.222, 0.000, 0.646), Y at (0.455, 0.000, 0.363) and In at (0.229, 0.500, 0.255).

The value obtained for the magnetization is 0.00 μB per formula unit. As for the total energy: -10.801 eV per formula unit. The value obtained for the density of states at the Fermi level is 5.720 states/eV/cell. The energy of formation comes out at 149 meV per atom.

***

(14)
This record from the Alexandria database describes KYIn2 after structural relaxation. The functional is GGA-PBE.

It has space group C2/m (No. 12), with a = 10.233 Å, b = 3.453 Å, c = 8.017 Å, α = 90.00°, β = 96.89° and γ = 90.00°. The inequivalent atoms are K at (0.000, 0.000, 0.000), Y at (0.000, 0.500, 0.500) and In at (0.245, 0.000, 0.687).

The value obtained for the magnetization is 0.00 μB per formula unit. As for the total energy: -13.258 eV per formula unit. The value obtained for the density of states at the Fermi level is 5.789 states/eV/cell. The energy of formation comes out at -55 meV per atom.